## ErThP2Rh5 (PBE-GGA)

Data for ErThP2Rh5 after structural relaxation.

Output
Its crystal system is tetragonal. The raw total energy is -7.421 eV per atom. For the formation enthalpy at 0 K, the calculation gives -0.803 eV/atom.

a = 4.078 Å, b = 4.078 Å, c = 10.535 Å
α = 90.00°, β = 90.00°, γ = 90.00°
Element x y z (fractional)
Er: 0.000 0.000 0.000
Th: 0.000 0.000 0.500
P: 0.500 0.500 0.284
P: 0.500 0.500 0.716
Rh: 0.000 0.500 0.195
Rh: 0.500 0.000 0.195
Rh: 0.000 0.500 0.805
Rh: 0.500 0.000 0.805
Rh: 0.500 0.500 0.500


## ErTh2P3Rh12 (PBE-GGA)

Data for ErTh2P3Rh12 after structural relaxation.

Output
Its crystal system is trigonal. The raw total energy is -7.346 eV per atom. For the formation enthalpy at 0 K, the calculation gives -0.466 eV/atom.

a = 6.792 Å, b = 6.792 Å, c = 6.792 Å
α = 82.48°, β = 82.48°, γ = 82.48°
Element x y z (fractional)
Er: 0.000 0.000 0.000
Th: 0.626 0.626 0.626
Th: 0.374 0.374 0.374
P: 0.500 0.000 0.000
P: 0.000 0.500 0.000
P: 0.000 0.000 0.500
Rh: 0.359 0.359 0.909
Rh: 0.822 0.822 0.343
Rh: 0.343 0.822 0.822
Rh: 0.909 0.359 0.359
Rh: 0.822 0.343 0.822
Rh: 0.359 0.909 0.359
Rh: 0.641 0.641 0.091
Rh: 0.178 0.178 0.657
Rh: 0.657 0.178 0.178
Rh: 0.091 0.641 0.641
Rh: 0.178 0.657 0.178
Rh: 0.641 0.091 0.641


## Er2ThP3Rh12 (PBE-GGA)

Data for Er2ThP3Rh12 after structural relaxation.

Output
Its crystal system is trigonal. The raw total energy is -7.184 eV per atom. For the formation enthalpy at 0 K, the calculation gives -0.462 eV/atom.

a = 6.723 Å, b = 6.723 Å, c = 6.723 Å
α = 83.47°, β = 83.47°, γ = 83.47°
Element x y z (fractional)
Er: 0.625 0.625 0.625
Er: 0.375 0.375 0.375
Th: 0.000 0.000 0.000
P: 0.500 0.000 0.000
P: 0.000 0.500 0.000
P: 0.000 0.000 0.500
Rh: 0.369 0.369 0.908
Rh: 0.819 0.819 0.341
Rh: 0.341 0.819 0.819
Rh: 0.908 0.369 0.369
Rh: 0.819 0.341 0.819
Rh: 0.369 0.908 0.369
Rh: 0.631 0.631 0.092
Rh: 0.181 0.181 0.659
Rh: 0.659 0.181 0.181
Rh: 0.092 0.631 0.631
Rh: 0.181 0.659 0.181
Rh: 0.631 0.092 0.631


## ErTh2P3Rh4 (PBE-GGA)

Data for ErTh2P3Rh4 after structural relaxation.

Output
Its crystal system is tetragonal. The raw total energy is -7.604 eV per atom. For the formation enthalpy at 0 K, the calculation gives -1.101 eV/atom.

a = 4.033 Å, b = 4.033 Å, c = 11.274 Å
α = 90.00°, β = 90.00°, γ = 90.00°
Element x y z (fractional)
Er: 0.500 0.500 0.500
Th: 0.500 0.000 0.222
Th: 0.000 0.500 0.778
P: 0.000 0.000 0.500
P: 0.500 0.000 0.875
P: 0.000 0.500 0.125
Rh: 0.500 0.500 0.000
Rh: 0.000 0.000 0.000
Rh: 0.500 0.000 0.666
Rh: 0.000 0.500 0.334


## ErTiP2Rh5 (PBE-GGA)

Data for ErTiP2Rh5 after structural relaxation.

Output
Its crystal system is tetragonal. The raw total energy is -7.174 eV per atom. For the formation enthalpy at 0 K, the calculation gives -0.504 eV/atom.

a = 4.033 Å, b = 4.033 Å, c = 9.922 Å
α = 90.00°, β = 90.00°, γ = 90.00°
Element x y z (fractional)
Er: 0.500 0.500 0.500
Ti: 0.000 0.000 0.000
P: 0.000 0.000 0.275
P: 0.000 0.000 0.725
Rh: 0.000 0.000 0.500
Rh: 0.000 0.500 0.836
Rh: 0.500 0.000 0.164
Rh: 0.000 0.500 0.164
Rh: 0.500 0.000 0.836


## ErTm2P3Rh12 (PBE-GGA)

Data for ErTm2P3Rh12 after structural relaxation.

Output
Its crystal system is trigonal. The raw total energy is -6.998 eV per atom. For the formation enthalpy at 0 K, the calculation gives -0.445 eV/atom.

a = 6.679 Å, b = 6.679 Å, c = 6.679 Å
α = 83.52°, β = 83.52°, γ = 83.52°
Element x y z (fractional)
Er: 0.000 0.000 0.000
Tm: 0.627 0.627 0.627
Tm: 0.373 0.373 0.373
P: 0.500 0.000 0.000
P: 0.000 0.500 0.000
P: 0.000 0.000 0.500
Rh: 0.371 0.371 0.906
Rh: 0.820 0.820 0.338
Rh: 0.338 0.820 0.820
Rh: 0.906 0.371 0.371
Rh: 0.820 0.338 0.820
Rh: 0.371 0.906 0.371
Rh: 0.629 0.629 0.094
Rh: 0.180 0.180 0.662
Rh: 0.662 0.180 0.180
Rh: 0.094 0.629 0.629
Rh: 0.180 0.662 0.180
Rh: 0.629 0.094 0.629